## YMo2Os (PBE-GGA)

Data for YMo2Os after structural relaxation.

POSCAR file:
```
YMo2Os
1.0
0.000 3.245 3.245
3.245 0.000 3.245
3.245 3.245 0.000
Y Mo Os
1 2 1
Direct
0.000 0.000 0.000
0.250 0.250 0.250
0.750 0.750 0.750
0.500 0.500 0.500
```

Its raw total energy is -38.16 eV/cell. Its polymorph energy (0 for the lowest one) is 117.2 meV/atom. As for the formation enthalpy at 0 K: 0.30 eV per atom. As for the density of states at the Fermi level: 0.50 states/eV per atom.